Record 1
This record from the Alexandria database describes a relaxed Rb2SrLaF6 crystal. The functional is PBE-GGA.

final energy	-210.11	eV for the cell shown
total magnetization	0.000	Bohr magnetons per cell
E_form (uncorrected)	-3.2754	eV per atom

a b c (Å): 9.710 9.710 9.710
angles (deg): 90.00 90.00 90.00
Space group Fm-3m (No. 225)
One atom of each set of equivalent atoms:
Rb 0.250 0.250 0.250 x8
Sr 0.000 0.000 0.000 x4
La 0.000 0.000 0.500 x4
F 0.000 0.000 0.255 x24

Record 2
This record from the Alexandria database describes a relaxed BaNaUTe3 crystal. The functional is PBE-GGA.

final energy	-59.89	eV for the cell shown
total magnetization	5.964	Bohr magnetons per cell
E_form (uncorrected)	-0.9986	eV per atom

a b c (Å): 9.355 4.667 10.325
angles (deg): 90.00 106.45 90.00
Space group P2_1/m (No. 11)
One atom of each set of equivalent atoms:
Ba 0.210 0.250 0.244 x2
Na 0.090 0.250 0.586 x2
U 0.326 0.750 0.846 x2
Te 0.103 0.250 0.876 x2
Te 0.261 0.750 0.526 x2
Te 0.452 0.750 0.160 x2

Record 3
This record from the Alexandria database describes a relaxed CrTc2Sn crystal. The functional is PBE-GGA.

final energy	-128.12	eV for the cell shown
total magnetization	0.000	Bohr magnetons per cell

a b c (Å): 7.172 7.172 5.298
angles (deg): 90.00 90.00 90.00
Space group I-42d (No. 122)
One atom of each set of equivalent atoms:
Cr 0.000 0.000 0.000 x4
Tc 0.181 0.750 0.125 x8
Sn 0.000 0.000 0.500 x4

Record 4
This record from the Alexandria database describes a relaxed YHg2Rh crystal. The functional is PBE-GGA.

final energy	-15.85	eV for the cell shown
total magnetization	0.000	Bohr magnetons per cell

a b c (Å): 3.743 3.953 6.437
angles (deg): 90.00 106.69 90.00
Space group Pm (No. 6)
One atom of each set of equivalent atoms:
Y 0.000 0.000 0.000 x1
Hg 0.272 0.000 0.546 x1
Hg 0.659 0.500 0.318 x1
Rh 0.434 0.500 0.867 x1

Record 5
This record from the Alexandria database describes a relaxed PmTm2Sb crystal. The functional is PBE-GGA.

final energy	-74.64	eV for the cell shown
excess energy over the best structure of this formula in the dataset	1.54	eV per formula unit
total magnetization	0.003	Bohr magnetons per cell
E_form (uncorrected)	-0.2108	eV per atom

a b c (Å): 7.593 7.593 7.593
angles (deg): 90.00 90.00 90.00
Space group Fm-3m (No. 225)
One atom of each set of equivalent atoms:
Pm 0.000 0.000 0.000 x4
Tm 0.250 0.250 0.250 x8
Sb 0.000 0.000 0.500 x4

Record 6
This record from the Alexandria database describes a relaxed CsNd2OsO8 crystal. The functional is PBE-GGA.

final energy	-84.57	eV for the cell shown
total magnetization	0.298	Bohr magnetons per cell
E_form (uncorrected)	-1.9403	eV per atom

a b c (Å): 4.454 5.344 7.722
angles (deg): 89.92 73.71 89.82
Space group P-1 (No. 2)
One atom of each set of equivalent atoms:
Cs 0.000 0.000 0.000 x1
Nd 0.376 0.501 0.307 x2
Os 0.000 0.000 0.500 x1
O 0.184 0.268 0.604 x2
O 0.186 0.736 0.606 x2
O 0.328 0.499 0.007 x2
O 0.339 0.998 0.292 x2

> What is the final energy in the third record?

-128.12 eV for the cell shown